(1)
## SmTm5Sn4 (PBE-GGA)

Data for an optimized crystal structure of SmTm5Sn4.

Formation energy = -3.81 eV/f.u.
Density of states at the Fermi level = 21.750 states/eV per cell
Crystal system = monoclinic

Cell: 17.5686 4.4789 7.8213 Å, 90.00 101.96 90.00°
Space group C2/m (No. 12)
One atom of each set of equivalent atoms:
Sm 0.0000 0.0000 0.0000
Tm 0.0000 0.0000 0.5000
Tm 0.1391 0.5000 0.7241
Tm 0.2091 0.5000 0.3135
Sn 0.0383 0.5000 0.2835
Sn 0.1888 0.0000 0.0150

***

(2)
## AcLuFe4 (PBE-GGA)

Data for an optimized crystal structure of AcLuFe4.

Formation energy = 0.49 eV/f.u.
Density of states at the Fermi level = 22.297 states/eV per cell
Crystal system = cubic

Cell: 7.4158 7.4158 7.4158 Å, 90.00 90.00 90.00°
Space group F-43m (No. 216)
One atom of each set of equivalent atoms:
Ac 0.0000 0.0000 0.0000
Lu 0.2500 0.2500 0.7500
Fe 0.1239 0.1239 0.3761

***

(3)
## Np3TlS6 (PBE-GGA)

Data for an optimized crystal structure of Np3TlS6.

Formation energy from raw total energies = -11.5 eV/f.u.
Density of states at the Fermi level = 106.668 states/eV per cell
Crystal system = orthorhombic

Cell: 10.4691 12.7003 7.0201 Å, 90.00 90.00 90.00°
Space group Cmc2_1 (No. 36)
One atom of each set of equivalent atoms:
Np 0.0000 0.0992 0.0000
Np 0.1858 0.3998 0.9022
Tl 0.0000 0.2952 0.3941
S 0.0000 0.2728 0.7995
S 0.0000 0.4863 0.1403
S 0.1591 0.0371 0.7056
S 0.2078 0.2185 0.1199

***

(4)
## CdRe2Bi (PBE-GGA)

Data for an optimized crystal structure of CdRe2Bi.

Formation energy = 4.74 eV/f.u.
Density of states at the Fermi level = 22.208 states/eV per cell
Crystal system = cubic

Cell: 6.6465 6.6465 6.6465 Å, 90.00 90.00 90.00°
Space group Fm-3m (No. 225)
One atom of each set of equivalent atoms:
Cd 0.0000 0.0000 0.0000
Re 0.2500 0.2500 0.2500
Bi 0.0000 0.0000 0.5000

***

(5)
## SbBr2Cl (PBE-GGA)

Data for an optimized crystal structure of SbBr2Cl.

Formation energy from raw total energies = -2.7 eV/f.u.
Density of states at the Fermi level = 0.000 states/eV per cell
Crystal system = monoclinic

Cell: 7.0652 12.4125 7.1259 Å, 90.00 94.12 90.00°
Space group Cm (No. 8)
One atom of each set of equivalent atoms:
Sb 0.0000 0.1669 0.0000
Br 0.1654 0.0000 0.2309
Br 0.1936 0.3251 0.2329
Br 0.3451 0.5000 0.7622
Cl 0.3023 0.1870 0.7875

***

(6)
## Zn2OsPt (PBE-GGA)

Data for an optimized crystal structure of Zn2OsPt.

Formation energy = -0.37 eV/f.u.
Density of states at the Fermi level = 2.547 states/eV per cell
Crystal system = monoclinic

Cell: 10.0076 2.7100 4.7244 Å, 90.00 115.06 90.00°
Space group Cm (No. 8)
One atom of each set of equivalent atoms:
Zn 0.0000 0.0000 0.0000
Zn 0.2341 0.0000 0.5680
Os 0.2478 0.5000 0.0689
Pt 0.4839 0.0000 0.4946

***

no.,E (eV per atom)
1,-4.6895
2,-6.9976
3,-7.7462
4,-6.2387
5,-3.0072
6,-5.0465